No. 1
A relaxed Co2Ni2Bi crystal. Source: Alexandria, functional GGA-PBE.

Unit cell a=3.503 b=3.503 c=6.488 alpha=74.34 beta=74.34 gamma=90.00
Sites, in units of the cell vectors:
Ni1 0.391 0.391 0.219
Ni2 0.609 0.609 0.781
Co1 0.750 0.250 0.500
Co2 0.250 0.750 0.500
Bi1 0.000 0.000 0.000

Calculated values
The electronic total energy comes out at -5.589 eV per atom. The calculation puts the excess energy over the best structure of this formula in the dataset at 0 meV per atom. As for the energy of formation: 165 kJ/mol of formula units.

---

No. 2
A relaxed ZnCu crystal. Source: Alexandria, functional GGA-PBE.

Unit cell a=5.067 b=5.067 c=4.164 alpha=90.00 beta=90.00 gamma=120.00
Sites, in units of the cell vectors:
Cu1 0.500 0.000 0.000
Cu2 0.000 0.500 0.000
Cu3 0.500 0.500 0.000
Zn1 0.000 0.000 0.000
Zn2 0.333 0.667 0.500
Zn3 0.667 0.333 0.500

Calculated values
The electronic total energy comes out at -2.685 eV per atom. As for the energy of formation: 0 kJ/mol of formula units.

---

No. 3
A relaxed YZrTcAu crystal. Source: Alexandria, functional GGA-PBE.

Unit cell a=4.858 b=4.858 c=4.858 alpha=60.00 beta=60.00 gamma=60.00
Sites, in units of the cell vectors:
Y1 0.750 0.750 0.750
Au1 0.500 0.500 0.500
Tc1 0.000 0.000 0.000
Zr1 0.250 0.250 0.250

Calculated values
The electronic total energy comes out at -7.504 eV per atom. As for the energy of formation: -131 kJ/mol of formula units.

---

No. 4
A relaxed Mn2CrAgP crystal. Source: Alexandria, functional GGA-PBE.

Unit cell a=4.544 b=4.298 c=4.544 alpha=90.00 beta=90.00 gamma=90.00
Sites, in units of the cell vectors:
Cr1 0.000 0.000 0.000
Mn1 0.000 0.000 0.500
Mn2 0.500 0.000 0.000
Ag1 0.500 0.500 0.500
P1 0.000 0.500 0.000

Calculated values
The electronic total energy comes out at -6.535 eV per atom. The calculation puts the excess energy over the best structure of this formula in the dataset at 100 meV per atom. As for the energy of formation: 342 kJ/mol of formula units.